Entry 1:
A relaxed structure of LiTbMg2. Source: Alexandria, functional GGA-PBE.

Calculated values
crystal system	tetragonal
distance to the lowest polymorph of the same formula	0.0	kJ per mole of atoms
M_tot	0.245	μB/cell
ΔE_f	-0.177	eV per formula unit

Cell lengths 3.531, 3.531, 7.791 Å; angles 90.00, 90.00, 90.00 degrees
Space group P4/mmm (No. 123)
Symmetry-distinct sites (fractional):
Li1 0.000 0.000 0.000 (multiplicity 1)
Tb1 0.000 0.000 0.500 (multiplicity 1)
Mg1 0.500 0.500 0.215 (multiplicity 2)

Entry 2:
A relaxed structure of Ni2AgN. Source: Alexandria, functional GGA-PBE.

Calculated values
crystal system	trigonal
formation energy from raw total energies	0.39	eV per atom
M_tot	0.000	μB/cell

Cell lengths 2.8078, 2.8078, 22.0447 Å; angles 90.00, 90.00, 120.00 degrees
Space group R-3m (No. 166, hexagonal axes)
Symmetry-distinct sites (fractional):
Ni1 0.0000 0.0000 0.1185 (multiplicity 6)
Ag1 0.0000 0.0000 0.0000 (multiplicity 3)
N1 0.0000 0.0000 0.5000 (multiplicity 3)

Entry 3:
A relaxed structure of CsAlGe. Source: Alexandria, functional GGA-PBE.

Calculated values
crystal system	hexagonal
M_tot	0.000	μB/cell
ΔE_f	-0.340	eV per formula unit

Cell lengths 4.3438, 4.3438, 6.2512 Å; angles 90.00, 90.00, 120.00 degrees
Space group P-6m2 (No. 187)
Symmetry-distinct sites (fractional):
Cs1 0.0000 0.0000 0.0000 (multiplicity 1)
Al1 0.6667 0.3333 0.5000 (multiplicity 1)
Ge1 0.3333 0.6667 0.5000 (multiplicity 1)

Entry 4:
A relaxed structure of CaSbAu. Source: Alexandria, functional GGA-PBE.

Calculated values
crystal system	monoclinic
formation energy from raw total energies	-0.70	eV per atom
M_tot	0.000	μB/cell

Cell lengths 11.682, 4.531, 7.438 Å; angles 90.00, 129.44, 90.00 degrees
Space group C2/m (No. 12)
Symmetry-distinct sites (fractional):
Ca1 0.052 0.000 0.312 (multiplicity 4)
Sb1 0.169 0.500 0.117 (multiplicity 4)
Au1 0.148 0.500 0.700 (multiplicity 4)

Entry 5:
A relaxed structure of BaAs3H. Source: Alexandria, functional GGA-PBE.

Calculated values
crystal system	cubic
distance to the lowest polymorph of the same formula	0.0	kJ per mole of atoms
M_tot	0.000	μB/cell

Cell lengths 4.675, 4.675, 4.675 Å; angles 90.00, 90.00, 90.00 degrees
Space group Pm-3m (No. 221)
Symmetry-distinct sites (fractional):
Ba1 0.000 0.000 0.000 (multiplicity 1)
As1 0.000 0.500 0.500 (multiplicity 3)
H1 0.500 0.500 0.500 (multiplicity 1)